Density functional theory data (PBEsol) for Sc2ZnNi2 after structural relaxation.

Structure (CIF):
```
data_Sc2ZnNi2
_cell_length_a 3.426
_cell_length_b 3.426
_cell_length_c 13.988
_cell_angle_alpha 90.00
_cell_angle_beta 90.00
_cell_angle_gamma 90.00
_space_group_name_H-M_alt 'I 4/m m m'
_space_group_IT_number 139
_space_group_name_Hall '-I 4 2'
loop_
_atom_site_label
_atom_site_fract_x
_atom_site_fract_y
_atom_site_fract_z
_atom_site_occupancy
Sc1 0.000 0.000 0.114 1
Zn1 0.000 0.000 0.500 1
Ni1 0.000 0.500 0.250 1
```

Output
ΔE_f = -0.195 eV/atom
Density = 5.5 g/cm³